1.
## Tb5Sm5Sb6 (PBE-GGA)

Data for a relaxed structure of Tb5Sm5Sb6.

## Properties
DFT total energy, eV for the cell shown: -86.6
Formation energy from raw total energies, eV per atom: -0.9449
Symmetry: Amm2, No. 38

POSCAR file:
```
Tb5Sm5Sb6
1.0
-3.7927 -4.6084 -2.2538
1.8673 -5.1253 7.3377
-7.0847 5.7786 0.1066
Sb Tb Sm
6 5 5
Direct
0.5000 0.3852 0.3852
0.5000 0.6147 0.9999
0.5000 0.9999 0.6147
0.0000 0.9980 0.3862
0.0000 0.3862 0.9980
0.0000 0.6165 0.6165
0.5000 0.2487 0.9995
0.5000 0.9995 0.2487
0.5000 0.7544 0.7544
0.0000 0.0004 0.7517
0.0000 0.7517 0.0004
0.0000 0.2460 0.2460
0.7500 0.3336 0.6658
0.2500 0.3336 0.6658
0.2500 0.6658 0.3336
0.7500 0.6658 0.3336
```



2.
## TbSm3Sb4 (PBE-GGA)

Data for a relaxed structure of TbSm3Sb4.

## Properties
DFT total energy, eV for the cell shown: -44.7
Formation energy from raw total energies, eV per atom: -1.1734
Symmetry: Pm-3m, No. 221

POSCAR file:
```
TbSm3Sb4
1.0
6.2951 0.0000 0.0000
0.0000 6.2951 0.0000
0.0000 0.0000 6.2951
Sm Sb Tb
3 4 1
Direct
0.5000 0.0000 0.5000
0.5000 0.5000 0.0000
0.0000 0.5000 0.5000
0.5000 0.5000 0.5000
0.0000 0.0000 0.5000
0.5000 0.0000 0.0000
0.0000 0.5000 0.0000
0.0000 0.0000 0.0000
```



3.
## TbSmSb2 (PBE-GGA)

Data for a relaxed structure of TbSmSb2.

## Properties
DFT total energy, eV for the cell shown: -21.8
Formation energy from raw total energies, eV per atom: -1.0411
Symmetry: R3m, No. 160

POSCAR file:
```
TbSmSb2
1.0
4.4040 0.0000 0.0000
2.2020 3.8140 0.0000
2.2020 1.2713 7.5253
Sb Tb Sm
2 1 1
Direct
0.0833 0.0833 0.7500
0.2498 0.2498 0.2506
0.4979 0.4979 0.5062
0.6689 0.6689 0.9933
```



4.
## TbSmSbTe (PBE-GGA)

Data for a relaxed structure of TbSmSbTe.

## Properties
DFT total energy, eV for the cell shown: -21.8
Formation energy from raw total energies, eV per atom: -1.3001
Symmetry: R3m, No. 160

POSCAR file:
```
TbSmSbTe
1.0
-0.4871 -4.1693 1.3934
3.4240 -2.7957 -0.1489
2.9119 -0.3108 7.1077
Sb Te Tb Sm
1 1 1 1
Direct
0.6958 0.6958 0.9125
0.1924 0.1924 0.4229
0.4405 0.4405 0.6786
0.9478 0.9478 0.1566
```



5.
## TbSm3Th2Sb6 (PBE-GGA)

Data for a relaxed structure of TbSm3Th2Sb6.

## Properties
DFT total energy, eV for the cell shown: -71.5
Formation energy from raw total energies, eV per atom: -1.0946
Symmetry: C2/m, No. 12

POSCAR file:
```
TbSm3Th2Sb6
1.0
-4.2996 -0.9287 0.8515
2.4766 -7.2547 4.5932
1.9812 7.4647 6.3582
Sb Sm Th Tb
6 3 2 1
Direct
0.6666 0.5848 0.3332
0.6653 0.0808 0.3306
0.3334 0.4152 0.6668
0.3347 0.9192 0.6694
0.9989 0.2464 0.9977
0.0011 0.7536 0.0023
0.8332 0.1656 0.6663
0.5000 0.5000 0.0000
0.1668 0.8344 0.3337
0.8351 0.6690 0.6702
0.1649 0.3310 0.3298
0.5000 0.0000 0.0000
```



6.
## Tb2SmTh3Sb6 (PBE-GGA)

Data for a relaxed structure of Tb2SmTh3Sb6.

## Properties
DFT total energy, eV for the cell shown: -73.4
Formation energy from raw total energies, eV per atom: -1.0395
Symmetry: C2/m, No. 12

POSCAR file:
```
Tb2SmTh3Sb6
1.0
4.4733 0.0000 0.0000
0.0000 8.9014 0.3313
-2.2367 -2.5458 9.3899
Th Sm Sb Tb
3 1 6 2
Direct
0.1660 0.8329 0.3320
0.5000 0.5000 0.0000
0.8340 0.1671 0.6680
0.5000 0.0000 0.0000
0.6664 0.0881 0.3328
0.9980 0.7510 0.9960
0.6684 0.5790 0.3369
0.3336 0.9119 0.6672
0.0020 0.2490 0.0040
0.3316 0.4210 0.6631
0.1667 0.3331 0.3334
0.8333 0.6669 0.6666
```



7.
## TbSmTh2Sb5 (PBE-GGA)

Data for a relaxed structure of TbSmTh2Sb5.

## Properties
DFT total energy, eV for the cell shown: -46.5
Formation energy from raw total energies, eV per atom: -0.1846
Symmetry: P4/mmm, No. 123

POSCAR file:
```
TbSmTh2Sb5
1.0
-0.6156 -3.9916 -3.3882
0.7837 -3.4433 3.9142
-11.3676 -0.1024 2.1860
Sb Th Tb Sm
5 2 1 1
Direct
0.5000 0.5000 0.0000
0.0000 0.5000 0.5000
0.0000 0.0000 0.7504
0.0000 0.0000 0.2496
0.5000 0.0000 0.5000
0.5000 0.5000 0.6984
0.5000 0.5000 0.3016
0.0000 0.0000 0.5000
0.0000 0.0000 0.0000
```



8.
## TbSm2Th3Sb6 (PBE-GGA)

Data for a relaxed structure of TbSm2Th3Sb6.

## Properties
DFT total energy, eV for the cell shown: -73.6
Formation energy from raw total energies, eV per atom: -1.0462
Symmetry: C2/m, No. 12

POSCAR file:
```
TbSm2Th3Sb6
1.0
-3.4992 -2.6096 -1.0231
5.1431 -7.2494 0.9006
-1.8393 2.5964 9.4918
Th Sb Sm Tb
3 6 2 1
Direct
0.5000 0.5000 0.0000
0.8326 0.1664 0.6651
0.1674 0.8336 0.3349
0.6673 0.5818 0.3345
0.3327 0.4182 0.6655
0.6645 0.0842 0.3291
0.9998 0.7549 0.9997
0.3355 0.9158 0.6709
0.0002 0.2451 0.0003
0.8335 0.6666 0.6670
0.1665 0.3334 0.3330
0.5000 0.0000 0.0000
```